(1)
Below is an optimized crystal structure of PIr2Pb, with properties calculated at the PBE-GGA level.

## Properties
The calculation puts the formation energy from the elements at 0.2101 eV/atom. The value obtained for the density of states at the Fermi level is 0.35 states/eV/atom.

Cell and atoms, written as CIF:
```
data_PIr2Pb
_cell_length_a 4.2236
_cell_length_b 4.2347
_cell_length_c 7.5650
_cell_angle_alpha 90.00
_cell_angle_beta 90.00
_cell_angle_gamma 90.00
_symmetry_space_group_name_H-M 'C m m m'
_symmetry_Int_Tables_number 65
_symmetry_space_group_name_Hall '-C 2 2'
loop_
_atom_site_label
_atom_site_fract_x
_atom_site_fract_y
_atom_site_fract_z
P1 0.0000 0.0000 0.0000
Ir1 0.0000 0.5000 0.1832
Pb1 0.0000 0.0000 0.5000
```

(2)
Below is an optimized crystal structure of Al2CdO, with properties calculated at the PBE-GGA level.

## Properties
The uncorrected formation energy is -22.84 kcal/mol of atoms. The value obtained for the density of states at the Fermi level is 0.22 states/eV/atom.

Cell and atoms, written as CIF:
```
data_Al2CdO
_cell_length_a 4.3266
_cell_length_b 2.8893
_cell_length_c 10.1350
_cell_angle_alpha 90.00
_cell_angle_beta 95.41
_cell_angle_gamma 90.00
_symmetry_space_group_name_H-M 'P 1 21/m 1'
_symmetry_Int_Tables_number 11
loop_
_symmetry_equiv_pos_as_xyz
'x,y,z'
'-x,-y,-z'
'-x,y+1/2,-z'
'x,-y+1/2,z'
loop_
_atom_site_label
_atom_site_fract_x
_atom_site_fract_y
_atom_site_fract_z
Al1 0.2231 0.2500 0.4373
Al2 0.2577 0.2500 0.7475
Cd1 0.2437 0.2500 0.0911
O1 0.4850 0.7500 0.3962
```

(3)
Below is an optimized crystal structure of ThReCl, with properties calculated at the PBE-GGA level.

## Properties
The uncorrected formation energy is -16.70 kcal/mol of atoms. The value obtained for the density of states at the Fermi level is 0.82 states/eV/atom.

Cell and atoms, written as CIF:
```
data_ThReCl
_cell_length_a 4.0751
_cell_length_b 4.0758
_cell_length_c 12.1862
_cell_angle_alpha 80.62
_cell_angle_beta 80.60
_cell_angle_gamma 60.01
_symmetry_space_group_name_H-M 'P 1'
_symmetry_Int_Tables_number 1
loop_
_symmetry_equiv_pos_as_xyz
'x,y,z'
loop_
_atom_site_label
_atom_site_fract_x
_atom_site_fract_y
_atom_site_fract_z
Th1 0.0000 0.0000 0.0000
Th2 0.4612 0.4625 0.6051
Re1 0.3816 0.3813 0.8521
Re2 0.7350 0.7347 0.7905
Cl1 0.2802 0.2821 0.1616
Cl2 0.8443 0.8468 0.4504
```

(4)
Below is an optimized crystal structure of ZnFe2Au, with properties calculated at the PBE-GGA level.

## Properties
The calculation puts the formation energy from the elements at 0.0454 eV/atom. The value obtained for the density of states at the Fermi level is 0.67 states/eV/atom.

Cell and atoms, written as CIF:
```
data_ZnFe2Au
_cell_length_a 3.7347
_cell_length_b 3.7347
_cell_length_c 3.9916
_cell_angle_alpha 90.00
_cell_angle_beta 90.00
_cell_angle_gamma 90.00
_symmetry_space_group_name_H-M 'P 4/m m m'
_symmetry_Int_Tables_number 123
_symmetry_space_group_name_Hall '-P 4 2'
loop_
_atom_site_label
_atom_site_fract_x
_atom_site_fract_y
_atom_site_fract_z
Zn1 0.0000 0.0000 0.0000
Fe1 0.0000 0.5000 0.5000
Au1 0.5000 0.5000 0.0000
```

(5)
Below is an optimized crystal structure of RbDyCuBr5, with properties calculated at the PBE-GGA level.

## Properties
The uncorrected formation energy is -33.07 kcal/mol of atoms. The value obtained for the density of states at the Fermi level is 0.00 states/eV/atom.

Cell and atoms, written as CIF:
```
data_RbDyCuBr5
_cell_length_a 9.3887
_cell_length_b 12.4864
_cell_length_c 10.5579
_cell_angle_alpha 90.00
_cell_angle_beta 113.14
_cell_angle_gamma 90.00
_symmetry_space_group_name_H-M 'C 1 2/c 1'
_symmetry_Int_Tables_number 15
loop_
_symmetry_equiv_pos_as_xyz
'x,y,z'
'-x,-y,-z'
'-x,y,-z+1/2'
'x,-y,z+1/2'
'x+1/2,y+1/2,z'
'-x+1/2,-y+1/2,-z'
'-x+1/2,y+1/2,-z+1/2'
'x+1/2,-y+1/2,z+1/2'
loop_
_atom_site_label
_atom_site_fract_x
_atom_site_fract_y
_atom_site_fract_z
Rb1 0.0000 0.1480 0.2500
Dy1 0.0000 0.5000 0.0000
Cu1 0.0000 0.1902 0.7500
Br1 0.0000 0.4222 0.2500
Br2 0.1069 0.2961 0.6103
Br3 0.1943 0.0725 0.9273
```